{
  "formula": "LiMgCdSi2",
  "functional": "meta-GGA SCAN",
  "state": "single point on PBEsol structure",
  "cell": [[4.4621, 0.0000, 0.0000], [0.0000, 4.4621, 0.0000], [0.0000, 0.0000, 4.6642]],
  "species": ["Si", "Si", "Li", "Mg", "Cd"],
  "frac_coords": [[0.0000, 0.5000, 0.0000], [0.5000, 0.0000, 0.0000], [0.0000, 0.0000, 0.0000], [0.0000, 0.0000, 0.5000], [0.5000, 0.5000, 0.5000]],
  "rho_g_cm3": 3.573,
  "energy_ev_per_atom": -10.93
}